[1]
The following is a PBE calculation of CaY2Cd8 after structural relaxation, from Alexandria.

Geometry as CIF:
```
data_CaY2Cd8
_chemical_formula_sum 'Ca2 Y4 Cd16'
_cell_length_a 8.320
_cell_length_b 16.013
_cell_length_c 5.378
_cell_angle_alpha 90.00
_cell_angle_beta 130.11
_cell_angle_gamma 90.00
_symmetry_space_group_name_H-M 'C 1 2/m 1'
_symmetry_Int_Tables_number 12
loop_
_symmetry_equiv_pos_as_xyz
'x,y,z'
'-x,-y,-z'
'-x,y,-z'
'x,-y,z'
'x+1/2,y+1/2,z'
'-x+1/2,-y+1/2,-z'
'-x+1/2,y+1/2,-z'
'x+1/2,-y+1/2,z'
loop_
_atom_site_label
_atom_site_type_symbol
_atom_site_fract_x
_atom_site_fract_y
_atom_site_fract_z
Ca1 Ca 0.000 0.000 0.000
Y1 Y 0.000 0.311 0.500
Cd1 Cd 0.000 0.201 0.000
Cd2 Cd 0.002 0.500 0.253
Cd3 Cd 0.234 0.132 0.735
```

## Properties
Volume, Å³ per cell: 548.0
Magnetization, μB/cell: 0.0
Crystal system: monoclinic
Density of states at the Fermi level, states/eV/f.u.: 5.23
DFT formation energy, meV per atom: -271



[2]
The following is a PBE calculation of Pm6HIr3 after structural relaxation, from Alexandria.

Geometry as CIF:
```
data_Pm6HIr3
_chemical_formula_sum 'Pm12 H2 Ir6'
_cell_length_a 6.757
_cell_length_b 7.405
_cell_length_c 11.957
_cell_angle_alpha 90.00
_cell_angle_beta 121.69
_cell_angle_gamma 90.00
_symmetry_space_group_name_H-M 'P 1 21/c 1'
_symmetry_Int_Tables_number 14
loop_
_symmetry_equiv_pos_as_xyz
'x,y,z'
'-x,-y,-z'
'-x,y+1/2,-z+1/2'
'x,-y+1/2,z+1/2'
loop_
_atom_site_label
_atom_site_type_symbol
_atom_site_fract_x
_atom_site_fract_y
_atom_site_fract_z
Pm1 Pm 0.092 0.050 0.253
Pm2 Pm 0.259 0.674 0.078
Pm3 Pm 0.406 0.180 0.069
H1 H 0.500 0.000 0.500
Ir1 Ir 0.000 0.000 0.000
Ir2 Ir 0.316 0.114 0.765
```

## Properties
Volume, Å³ per cell: 509.1
VASP energy, eV/cell: -127.90
Magnetization, μB/cell: 0.0
Crystal system: monoclinic
Density of states at the Fermi level, states/eV/f.u.: 6.86



[3]
The following is a PBE calculation of MnMo2Ir after structural relaxation, from Alexandria.

Geometry as CIF:
```
data_MnMo2Ir
_chemical_formula_sum 'Mn4 Mo8 Ir4'
_cell_length_a 6.193
_cell_length_b 6.193
_cell_length_c 6.193
_cell_angle_alpha 90.00
_cell_angle_beta 90.00
_cell_angle_gamma 90.00
_symmetry_space_group_name_H-M 'F m -3 m'
_symmetry_Int_Tables_number 225
_symmetry_space_group_name_Hall '-F 4 2 3'
loop_
_atom_site_label
_atom_site_type_symbol
_atom_site_fract_x
_atom_site_fract_y
_atom_site_fract_z
Mn1 Mn 0.000 0.000 0.000
Mo1 Mo 0.250 0.250 0.250
Ir1 Ir 0.000 0.000 0.500
```

## Properties
Volume, Å³ per cell: 237.5
Magnetization, μB/cell: 9.6
Crystal system: cubic
E above lowest polymorph, meV/atom: 280
Density of states at the Fermi level, states/eV/f.u.: 5.74
DFT formation energy, meV per atom: 208